Entry 1:
Zr2Ga2Cl | Alexandria | PBE | relaxed; E_tot = -55.9 eV per cell; total moment = 0.00 μB/atom; raw formation energy = -0.5898 eV/atom; volume = 20.1 Å³ per atom; crystal system = tetragonal; density = 5.91 Mg/m³
1.0
7.1742 0.0000 0.0000
0.0000 7.1742 0.0000
0.0000 0.0000 3.9013
Ga Zr Cl
4 4 2
direct
0.1224 0.6224 0.5000
0.6224 0.8776 0.5000
0.8776 0.3776 0.5000
0.3776 0.1224 0.5000
0.3211 0.8211 0.0000
0.8211 0.6789 0.0000
0.6789 0.1789 0.0000
0.1789 0.3211 0.0000
0.0000 0.0000 0.0000
0.5000 0.5000 0.0000

Entry 2:
ZrGaCl3 | Alexandria | PBE | relaxed; E_tot = -17.6 eV per cell; total moment = 0.51 μB/atom; raw formation energy = -0.0928 eV/atom; volume = 26.2 Å³ per atom; crystal system = cubic; density = 3.38 Mg/m³; excess energy over the best structure of this formula in the dataset = 839 meV per atom
1.0
5.0815 0.0000 0.0000
0.0000 5.0815 0.0000
0.0000 0.0000 5.0815
Ga Zr Cl
1 1 3
direct
0.0000 0.0000 0.0000
0.5000 0.5000 0.5000
0.0000 0.5000 0.0000
0.0000 0.0000 0.5000
0.5000 0.0000 0.0000

Entry 3:
ZrGa3Cl7 | Alexandria | PBE | relaxed; E_tot = -43.8 eV per cell; total moment = 0.00 μB/atom; raw formation energy = -1.2038 eV/atom; volume = 31.1 Å³ per atom; crystal system = monoclinic; density = 2.66 Mg/m³
1.0
6.4319 0.6363 2.9214
-0.8595 6.4059 2.9214
-0.3585 -0.4531 7.8217
Zr Ga Cl
1 3 7
direct
0.0215 0.0215 0.9772
0.7651 0.2102 0.4781
0.5187 0.5187 0.0315
0.2102 0.7651 0.4781
0.1739 0.1739 0.1372
0.6817 0.0677 0.2189
0.9683 0.3528 0.7453
0.0677 0.6817 0.2189
0.5179 0.5179 0.3672
0.3528 0.9683 0.7453
0.8473 0.8473 0.8522

Entry 4:
ZrGaCl6 | Alexandria | PBE | relaxed; E_tot = -33.5 eV per cell; total moment = 0.00 μB/atom; raw formation energy = -1.3516 eV/atom; volume = 26.1 Å³ per atom; crystal system = trigonal; density = 2.97 Mg/m³
1.0
6.4556 0.0078 0.0062
3.2200 5.5965 0.0105
3.2174 1.8604 5.7902
Zr Ga Cl
1 1 6
direct
0.0000 0.0000 0.0000
0.5000 0.5000 0.5000
0.0987 0.3916 0.7512
0.7584 0.0987 0.7512
0.6084 0.2415 0.2488
0.2416 0.9013 0.2488
0.9013 0.6084 0.2488
0.3916 0.7585 0.7512

Entry 5:
ZrGa3Cl | Alexandria | PBE | relaxed; E_tot = -17.3 eV per cell; total moment = 0.00 μB/atom; raw formation energy = 0.4305 eV/atom; volume = 22.7 Å³ per atom; crystal system = cubic; density = 4.92 Mg/m³; excess energy over the best structure of this formula in the dataset = 0 meV per atom
1.0
-4.8309 -0.0239 -0.2844
0.1000 -4.6582 -1.3077
-0.2673 -1.3113 4.6506
Ga Zr Cl
3 1 1
direct
0.0000 0.5000 0.0000
0.0000 0.0000 0.5000
0.5000 0.0000 0.0000
0.5000 0.5000 0.5000
0.0000 0.0000 0.0000

Entry 6:
Zr2GaCl8 | Alexandria | PBE | relaxed; E_tot = -50.8 eV per cell; total moment = 0.09 μB/atom; raw formation energy = -1.4416 eV/atom; volume = 38.6 Å³ per atom; crystal system = monoclinic; density = 2.10 Mg/m³
1.0
-5.3849 -2.4537 2.9130
5.0485 -4.5974 4.2988
1.4095 5.3054 5.9135
Zr Ga Cl
2 1 8
direct
0.6538 0.8163 0.8163
0.3462 0.1837 0.1837
0.0000 0.0000 0.0000
0.2769 0.3206 0.9059
0.7231 0.0941 0.6794
0.2914 0.8244 0.8244
0.7086 0.1756 0.1756
0.2769 0.9059 0.3206
0.7231 0.6794 0.0941
0.7467 0.6348 0.6348
0.2533 0.3652 0.3652

Entry 7:
ZrGaCl2 | Alexandria | PBE | relaxed; E_tot = -16.9 eV per cell; total moment = 0.00 μB/atom; raw formation energy = -0.3974 eV/atom; volume = 19.2 Å³ per atom; crystal system = cubic; density = 5.02 Mg/m³; excess energy over the best structure of this formula in the dataset = 230 meV per atom
1.0
-3.4848 -2.8887 1.4976
-3.5971 1.7498 2.5943
-4.3608 0.3429 -1.8967
Ga Zr Cl
1 1 2
direct
0.0000 0.0000 0.0000
0.5000 0.5000 0.5000
0.2500 0.2500 0.2500
0.7500 0.7500 0.7500

Entry 8:
ZrGa2Cl | Alexandria | PBE | relaxed; E_tot = -33.5 eV per cell; total moment = 0.00 μB/atom; raw formation energy = -0.0767 eV/atom; volume = 23.8 Å³ per atom; crystal system = tetragonal; density = 4.64 Mg/m³; excess energy over the best structure of this formula in the dataset = 0 meV per atom
1.0
8.7393 0.0000 0.0000
0.0000 8.7393 0.0000
4.3696 4.3696 2.4914
Ga Zr Cl
4 2 2
direct
0.6783 0.1250 0.2500
0.0717 0.6250 0.2500
0.3750 0.3217 0.7500
0.8750 0.9283 0.7500
0.0000 0.0000 0.0000
0.7500 0.2500 0.5000
0.5000 0.5000 0.0000
0.2500 0.7500 0.5000